Below is crystalline La3HfTe at its relaxed geometry, with properties calculated at the PBE-GGA level.

Output
The calculated volume is 206 Å³/cell. The energy above the lowest structure with this stoichiometry is 0.104 eV per atom. As for the formation energy from raw total energies: 0.256 eV per atom. The final energy is -26.6 eV per formula unit. The value obtained for the calculated density is 5.8 g cm⁻³. As for the total moment: 0.0 μB/f.u.

```
La3HfTe
1.0
5.9066 0.0000 0.0000
0.0000 5.9066 0.0000
0.0000 0.0000 5.9066
La Hf Te
3 1 1
Cartesian
0.0000 0.0000 2.9533
0.0000 2.9533 0.0000
2.9533 0.0000 0.0000
2.9533 2.9533 2.9533
0.0000 0.0000 0.0000
```

Below is crystalline LaHfTe3 at its relaxed geometry, with properties calculated at the PBE-GGA level.

Output
The calculated volume is 169 Å³/cell. The energy above the lowest structure with this stoichiometry is 0.000 eV per atom. As for the formation energy from raw total energies: -0.714 eV per atom. The final energy is -27.9 eV per formula unit. The value obtained for the calculated density is 6.9 g cm⁻³. As for the total moment: 0.0 μB/f.u.

```
LaHfTe3
1.0
5.5266 0.0000 0.0000
0.0000 5.5266 0.0000
0.0000 0.0000 5.5266
La Hf Te
1 1 3
Cartesian
0.0000 0.0000 0.0000
2.7633 2.7633 2.7633
0.0000 2.7633 2.7633
2.7633 0.0000 2.7633
2.7633 2.7633 0.0000
```

Below is crystalline LaHf2Te at its relaxed geometry, with properties calculated at the PBE-GGA level.

Output
The calculated volume is 425 Å³/cell. As for the formation energy from raw total energies: -0.028 eV per atom. The final energy is -28.1 eV per formula unit. The value obtained for the calculated density is 9.7 g cm⁻³. As for the total moment: 0.0 μB/f.u.

```
LaHf2Te
1.0
4.4655 0.0000 0.0000
0.0000 4.4655 0.0000
0.0000 0.0000 21.3322
La Hf Te
4 8 4
Cartesian
0.0000 0.0000 0.0000
0.0000 2.2327 5.3331
2.2327 0.0000 15.9992
2.2327 2.2327 10.6661
1.0517 1.1164 13.3327
1.1164 3.2844 18.6657
1.1164 3.4138 7.9996
1.1811 1.1164 2.6665
3.2844 3.3491 2.6665
3.3491 1.0517 7.9996
3.3491 1.1811 18.6657
3.4138 3.3491 13.3327
0.0000 0.0000 10.6661
0.0000 2.2327 15.9992
2.2327 0.0000 5.3331
2.2327 2.2327 0.0000
```

Below is crystalline LaHfTiTe2 at its relaxed geometry, with properties calculated at the PBE-GGA level.

Output
The calculated volume is 196 Å³/cell. As for the formation energy from raw total energies: 1.066 eV per atom. The final energy is -23.7 eV per formula unit. The value obtained for the calculated density is 5.3 g cm⁻³. As for the total moment: 3.0 μB/f.u.

```
LaHfTiTe2
1.0
5.9733 0.0000 0.0000
0.0000 5.9733 0.0000
0.0000 0.0000 5.4900
La Hf Ti Te
1 1 1 2
Cartesian
0.0000 0.0000 0.0000
0.0000 0.0000 2.7450
2.9867 2.9867 2.7450
0.0000 2.9867 0.0000
2.9867 0.0000 0.0000
```

Below is crystalline LaHfTl2Te at its relaxed geometry, with properties calculated at the PBE-GGA level.

Output
The calculated volume is 215 Å³/cell. As for the formation energy from raw total energies: 0.928 eV per atom. The final energy is -18.1 eV per formula unit. The value obtained for the calculated density is 6.6 g cm⁻³. As for the total moment: 0.0 μB/f.u.

```
LaHfTl2Te
1.0
6.0329 0.0000 0.0000
0.0000 6.0329 0.0000
0.0000 0.0000 5.8993
La Hf Tl Te
1 1 2 1
Cartesian
0.0000 0.0000 0.0000
3.0164 3.0164 2.9496
0.0000 3.0164 0.0000
3.0164 0.0000 0.0000
0.0000 0.0000 2.9496
```

Below is crystalline LaHf2VTe at its relaxed geometry, with properties calculated at the PBE-GGA level.

Output
The calculated volume is 161 Å³/cell. As for the formation energy from raw total energies: 0.923 eV per atom. The final energy is -32.5 eV per formula unit. The value obtained for the calculated density is 7.0 g cm⁻³. As for the total moment: 2.9 μB/f.u.

```
LaHf2VTe
1.0
5.2427 0.0000 0.0000
0.0000 5.2427 0.0000
0.0000 0.0000 5.8429
La Hf V Te
1 2 1 1
Cartesian
0.0000 0.0000 0.0000
0.0000 2.6213 2.9214
2.6213 0.0000 2.9214
2.6213 2.6213 0.0000
0.0000 0.0000 2.9214
```

Below is crystalline LaHfTh at its relaxed geometry, with properties calculated at the PBE-GGA level.

Output
The calculated volume is 359 Å³/cell. The value obtained for the formation enthalpy at 0 K is 0.8 eV/f.u. The energy above the lowest structure with this stoichiometry is 0.109 eV per atom. The final energy is -21.5 eV per formula unit. The value obtained for the calculated density is 10.2 g cm⁻³. As for the total moment: 0.0 μB/f.u.

```
LaHfTh
1.0
9.5873 -1.6826 0.0000
9.5873 1.6826 0.0000
-0.0323 0.0000 11.1399
La Hf Th
4 4 4
Cartesian
3.8976 0.0000 1.3539
4.0675 0.0000 6.9914
15.0749 0.0000 4.1485
15.2447 0.0000 9.7859
2.0570 0.0000 4.1344
7.1971 0.0000 1.2633
11.9453 0.0000 9.8766
17.0854 0.0000 7.0055
8.6140 0.0000 4.2128
8.7564 0.0000 9.6642
10.3860 0.0000 1.4756
10.5284 0.0000 6.9271
```

Below is crystalline LaHfTh at its relaxed geometry, with properties calculated at the PBE-GGA level.

Output
The calculated volume is 178 Å³/cell. The value obtained for the formation enthalpy at 0 K is 0.5 eV/f.u. The energy above the lowest structure with this stoichiometry is 0.000 eV per atom. The final energy is -21.8 eV per formula unit. The value obtained for the calculated density is 10.3 g cm⁻³. As for the total moment: 0.0 μB/f.u.

```
LaHfTh
1.0
3.4322 0.0000 0.0000
0.0000 3.4322 0.0000
0.0000 0.0000 15.1048
La Hf Th
2 2 2
Cartesian
0.0000 0.0000 0.0000
1.7161 1.7161 7.5524
0.0000 0.0000 10.0588
1.7161 1.7161 2.5064
0.0000 0.0000 4.7856
1.7161 1.7161 12.3380
```